Below is a relaxed ReTc2Rh crystal, with properties calculated at the PBE level.

Output
ρ (Mg/m³): 13.631
ΔE_f (kcal/mol of atoms): 1.4

Cell lengths 4.300, 2.713, 5.238 Å; angles 75.22, 90.00, 90.00 degrees
Atoms (fractional coordinates):
Rh 0.500 0.702 0.724
Tc 0.500 0.439 0.246
Tc 0.000 0.048 0.024
Re 0.000 0.310 0.506